# LaNbN2O (PBE-GGA, optimized geometry)
# ρ: 6.77 g/cm³
# magnetic moment: 0.000 μB per atom
# total energy: -0.3363 hartree per atom
# volume: 13.52 A^3/atom
data_LaNbN2O
_chemical_formula_sum 'La8 Nb8 N16 O8'
_cell_length_a 5.769
_cell_length_b 9.954
_cell_length_c 9.959
_cell_angle_alpha 71.08
_cell_angle_beta 89.91
_cell_angle_gamma 89.99
_space_group_name_H-M_alt 'P 1'
_space_group_IT_number 1
_space_group_name_Hall 'P 1'
loop_
_atom_site_label
_atom_site_type_symbol
_atom_site_fract_x
_atom_site_fract_y
_atom_site_fract_z
_atom_site_occupancy
La1 La 0.000 0.000 0.000 1
La2 La 0.004 0.495 0.507 1
La3 La 0.016 0.220 0.283 1
La4 La 0.023 0.714 0.787 1
La5 La 0.498 0.458 0.042 1
La6 La 0.507 0.958 0.543 1
La7 La 0.516 0.740 0.263 1
La8 La 0.523 0.239 0.762 1
Nb1 Nb 0.001 0.865 0.389 1
Nb2 Nb 0.032 0.097 0.642 1
Nb3 Nb 0.489 0.096 0.149 1
Nb4 Nb 0.495 0.360 0.398 1
Nb5 Nb 0.498 0.846 0.911 1
Nb6 Nb 0.531 0.599 0.642 1
Nb7 Nb 0.989 0.604 0.144 1
Nb8 Nb 0.993 0.353 0.907 1
N1 N 0.237 0.946 0.773 1
N2 N 0.245 0.238 0.064 1
N3 N 0.248 0.443 0.272 1
N4 N 0.303 0.193 0.522 1
N5 N 0.308 0.693 0.023 1
N6 N 0.311 0.980 0.320 1
N7 N 0.440 0.475 0.535 1
N8 N 0.442 0.974 0.032 1
N9 N 0.740 0.725 0.491 1
N10 N 0.744 0.227 0.991 1
N11 N 0.749 0.516 0.288 1
N12 N 0.799 0.478 0.740 1
N13 N 0.808 0.772 0.030 1
N14 N 0.810 0.974 0.238 1
N15 N 0.942 0.486 0.021 1
N16 N 0.942 0.988 0.519 1
O1 O 0.113 0.227 0.786 1
O2 O 0.114 0.713 0.299 1
O3 O 0.245 0.737 0.577 1
O4 O 0.307 0.497 0.818 1
O5 O 0.612 0.241 0.269 1
O6 O 0.615 0.752 0.763 1
O7 O 0.744 0.032 0.782 1
O8 O 0.807 0.271 0.541 1